Entry 1:
NiHg2Os | PBE | optimized geometry

Summary:
Total magnetic moment in μB per atom: 0.4503
Offset from the most stable computed form in meV per atom: 560
E_form in kJ/mol of formula units: 408
DOS(E_F) in states/eV per cell: 9.7
Space group: I-42d

Structure (POSCAR):
```
NiHg2Os
1.0
-1.6066 2.7898 2.2739
-2.4031 -2.6852 1.5966
4.5445 -1.7459 8.7688
Ni Os Hg
2 2 4
direct
0.5000 0.5000 0.0000 Ni
0.2500 0.7500 0.5000 Ni
0.0000 0.0000 0.0000 Os
0.7500 0.2500 0.5000 Os
0.6231 0.1250 0.2500 Hg
0.1269 0.6250 0.2500 Hg
0.3750 0.3769 0.7500 Hg
0.8750 0.8731 0.7500 Hg
```

---

Entry 2:
NiHgOs2 | PBE | optimized geometry

Summary:
Total magnetic moment in μB per atom: 0.0000
E_form in kJ/mol of formula units: 315
DOS(E_F) in states/eV per cell: 4.9
Space group: P4/mmm

Structure (POSCAR):
```
NiHgOs2
1.0
-2.1716 2.2358 -2.1025
-0.5974 -2.8343 -2.3969
-3.4239 -1.1946 2.2660
Hg Ni Os
1 1 2
direct
0.5000 0.0000 0.5000 Hg
0.0000 0.5000 0.5000 Ni
0.0000 0.0000 0.0000 Os
0.5000 0.5000 0.0000 Os
```

---

The highest total magnetic moment belongs to which entry?
NiHg2Os

---

Among the records above, which one has the highest DOS(E_F)?
NiHg2Os

---

The highest total magnetic moment belongs to which entry?
NiHg2Os